[1]
A plane-wave DFT calculation with PBE-GGA was carried out for a geometry-optimized Li3Pd5 structure.

POSCAR file:
```
Li3Pd5
1.0
3.7742 -3.8565 0.0000
3.7742 3.8565 0.0000
0.0000 0.0000 3.9553
Li Pd
3 5
Cartesian
0.0000 0.0000 0.0000
3.7742 1.8281 1.9776
3.7742 -1.8281 1.9776
1.8871 1.9283 0.0000
1.8017 0.0000 1.9776
1.8871 -1.9283 0.0000
3.7742 0.0000 0.0000
5.7467 0.0000 1.9776
```

Results
**Total moment**: 0.00 μB per atom
**Symmetry**: Cmmm (65)
**E_form**: -0.329 eV per atom
**Calculated density**: 8.0 g/cm3
**E_tot**: -4.292 eV per atom


[2]
A plane-wave DFT calculation with PBE-GGA was carried out for a geometry-optimized Li2Pd structure.

POSCAR file:
```
Li2Pd
1.0
0.0000 3.4267 3.4267
3.4267 0.0000 3.4267
3.4267 3.4267 0.0000
Li Pd
4 2
Cartesian
0.0000 0.0000 0.0000
1.7134 1.7134 0.0000
1.7134 0.0000 1.7134
0.0000 1.7134 1.7134
2.5701 2.5701 2.5701
4.2834 4.2834 4.2834
```

Results
**Total moment**: 0.00 μB per atom
**Symmetry**: Fd-3m (227)
**E_form**: -0.192 eV per atom
**Calculated density**: 5.0 g/cm3
**E_tot**: -3.199 eV per atom
**E above lowest polymorph**: 192.7 meV per atom


- Number 2 is which compound?
  Li2Pd


- What is the formula in the second record?
  Li2Pd